w.
# Cs2KCu PBE optimized geometry
# space group	No. 122
# volume	579.7	Å³ per cell
data_Cs2KCu
_chemical_formula_sum 'Cs4 K2 Cu2'
_symmetry_space_group_name_H-M 'P 1'
_symmetry_Int_Tables_number 1
_cell_length_a 9.835
_cell_length_b 9.835
_cell_length_c 9.835
_cell_angle_alpha 96.88
_cell_angle_beta 96.88
_cell_angle_gamma 139.50
loop_
_symmetry_equiv_pos_as_xyz
'x,y,z'
loop_
_atom_site_label
_atom_site_type_symbol
_atom_site_fract_x
_atom_site_fract_y
_atom_site_fract_z
Cs1 Cs 0.375 0.018 0.143
Cs2 Cs 0.768 0.625 0.643
Cs3 Cs 0.875 0.232 0.857
Cs4 Cs 0.982 0.125 0.357
K1 K 0.250 0.750 0.500
K2 K 0.500 0.500 0.000
Cu1 Cu 0.000 0.000 0.000
Cu2 Cu 0.750 0.250 0.500

x.
# Cs2KCu PBE optimized geometry
# space group	No. 225
# volume	233.2	Å³ per cell
data_Cs2KCu
_chemical_formula_sum 'Cs2 K1 Cu1'
_symmetry_space_group_name_H-M 'P 1'
_symmetry_Int_Tables_number 1
_cell_length_a 6.909
_cell_length_b 6.909
_cell_length_c 6.909
_cell_angle_alpha 60.00
_cell_angle_beta 60.00
_cell_angle_gamma 60.00
loop_
_symmetry_equiv_pos_as_xyz
'x,y,z'
loop_
_atom_site_label
_atom_site_type_symbol
_atom_site_fract_x
_atom_site_fract_y
_atom_site_fract_z
Cs1 Cs 0.250 0.250 0.250
Cs2 Cs 0.750 0.750 0.750
K1 K 0.000 0.000 0.000
Cu1 Cu 0.500 0.500 0.500

We find w to be the most stable, with the next structure 80 meV/atom higher.

w.
# Cs2K2Cu PBE optimized geometry
# space group	No. 127
# volume	675.3	Å³ per cell
data_Cs2K2Cu
_chemical_formula_sum 'Cs4 K4 Cu2'
_symmetry_space_group_name_H-M 'P 1'
_symmetry_Int_Tables_number 1
_cell_length_a 9.313
_cell_length_b 9.313
_cell_length_c 7.786
_cell_angle_alpha 90.00
_cell_angle_beta 90.00
_cell_angle_gamma 90.00
loop_
_symmetry_equiv_pos_as_xyz
'x,y,z'
loop_
_atom_site_label
_atom_site_type_symbol
_atom_site_fract_x
_atom_site_fract_y
_atom_site_fract_z
Cs1 Cs 0.187 0.313 0.000
Cs2 Cs 0.313 0.813 0.000
Cs3 Cs 0.687 0.187 0.000
Cs4 Cs 0.813 0.687 0.000
K1 K 0.167 0.667 0.500
K2 K 0.333 0.167 0.500
K3 K 0.667 0.833 0.500
K4 K 0.833 0.333 0.500
Cu1 Cu 0.000 0.000 0.500
Cu2 Cu 0.500 0.500 0.500

x.
# Cs2K2Cu PBE optimized geometry
# space group	No. 127
# volume	750.9	Å³ per cell
data_Cs2K2Cu
_chemical_formula_sum 'Cs4 K4 Cu2'
_symmetry_space_group_name_H-M 'P 1'
_symmetry_Int_Tables_number 1
_cell_length_a 9.525
_cell_length_b 9.525
_cell_length_c 8.277
_cell_angle_alpha 90.00
_cell_angle_beta 90.00
_cell_angle_gamma 90.00
loop_
_symmetry_equiv_pos_as_xyz
'x,y,z'
loop_
_atom_site_label
_atom_site_type_symbol
_atom_site_fract_x
_atom_site_fract_y
_atom_site_fract_z
Cs1 Cs 0.173 0.327 0.000
Cs2 Cs 0.327 0.827 0.000
Cs3 Cs 0.673 0.173 0.000
Cs4 Cs 0.827 0.673 0.000
K1 K 0.171 0.671 0.500
K2 K 0.329 0.171 0.500
K3 K 0.671 0.829 0.500
K4 K 0.829 0.329 0.500
Cu1 Cu 0.000 0.000 0.000
Cu2 Cu 0.500 0.500 0.000

We find w to be the most stable, with the next structure 24 meV/atom higher.

w.
# CsK2NaCu PBE optimized geometry
# space group	No. 123
# volume	300.2	Å³ per cell
data_CsK2NaCu
_chemical_formula_sum 'Cs1 K2 Na1 Cu1'
_symmetry_space_group_name_H-M 'P 1'
_symmetry_Int_Tables_number 1
_cell_length_a 6.543
_cell_length_b 6.543
_cell_length_c 7.013
_cell_angle_alpha 90.00
_cell_angle_beta 90.00
_cell_angle_gamma 90.00
loop_
_symmetry_equiv_pos_as_xyz
'x,y,z'
loop_
_atom_site_label
_atom_site_type_symbol
_atom_site_fract_x
_atom_site_fract_y
_atom_site_fract_z
Cs1 Cs 0.000 0.000 0.000
K1 K 0.000 0.500 0.500
K2 K 0.500 0.000 0.500
Na1 Na 0.500 0.500 0.000
Cu1 Cu 0.000 0.000 0.500

x.
# CsK2NaCu PBE optimized geometry
# space group	No. 123
# volume	272.2	Å³ per cell
data_CsK2NaCu
_chemical_formula_sum 'Cs1 K2 Na1 Cu1'
_symmetry_space_group_name_H-M 'P 1'
_symmetry_Int_Tables_number 1
_cell_length_a 6.694
_cell_length_b 6.694
_cell_length_c 6.075
_cell_angle_alpha 90.00
_cell_angle_beta 90.00
_cell_angle_gamma 90.00
loop_
_symmetry_equiv_pos_as_xyz
'x,y,z'
loop_
_atom_site_label
_atom_site_type_symbol
_atom_site_fract_x
_atom_site_fract_y
_atom_site_fract_z
Cs1 Cs 0.000 0.000 0.000
K1 K 0.000 0.500 0.500
K2 K 0.500 0.000 0.500
Na1 Na 0.500 0.500 0.000
Cu1 Cu 0.500 0.500 0.500

We find x to be the most stable, with the next structure 9 meV/atom higher.

w.
# CsK2TlCu PBE optimized geometry
# space group	No. 123
# volume	252.4	Å³ per cell
data_CsK2TlCu
_chemical_formula_sum 'Cs1 K2 Tl1 Cu1'
_symmetry_space_group_name_H-M 'P 1'
_symmetry_Int_Tables_number 1
_cell_length_a 6.984
_cell_length_b 6.984
_cell_length_c 5.176
_cell_angle_alpha 90.00
_cell_angle_beta 90.00
_cell_angle_gamma 90.00
loop_
_symmetry_equiv_pos_as_xyz
'x,y,z'
loop_
_atom_site_label
_atom_site_type_symbol
_atom_site_fract_x
_atom_site_fract_y
_atom_site_fract_z
Cs1 Cs 0.000 0.000 0.000
K1 K 0.000 0.500 0.500
K2 K 0.500 0.000 0.500
Tl1 Tl 0.500 0.500 0.500
Cu1 Cu 0.500 0.500 0.000

x.
# CsK2TlCu PBE optimized geometry
# space group	No. 123
# volume	233.8	Å³ per cell
data_CsK2TlCu
_chemical_formula_sum 'Cs1 K2 Tl1 Cu1'
_symmetry_space_group_name_H-M 'P 1'
_symmetry_Int_Tables_number 1
_cell_length_a 6.708
_cell_length_b 6.708
_cell_length_c 5.196
_cell_angle_alpha 90.00
_cell_angle_beta 90.00
_cell_angle_gamma 90.00
loop_
_symmetry_equiv_pos_as_xyz
'x,y,z'
loop_
_atom_site_label
_atom_site_type_symbol
_atom_site_fract_x
_atom_site_fract_y
_atom_site_fract_z
Cs1 Cs 0.000 0.000 0.000
K1 K 0.000 0.500 0.500
K2 K 0.500 0.000 0.500
Tl1 Tl 0.500 0.500 0.000
Cu1 Cu 0.500 0.500 0.500

We find x to be the most stable, with the next structure 65 meV/atom higher.

w.
# CsLa2Cu2 PBE optimized geometry
# space group	No. 127
# volume	308.1	Å³ per cell
data_CsLa2Cu2
_chemical_formula_sum 'Cs2 La4 Cu4'
_symmetry_space_group_name_H-M 'P 1'
_symmetry_Int_Tables_number 1
_cell_length_a 8.887
_cell_length_b 8.887
_cell_length_c 3.901
_cell_angle_alpha 90.00
_cell_angle_beta 90.00
_cell_angle_gamma 90.00
loop_
_symmetry_equiv_pos_as_xyz
'x,y,z'
loop_
_atom_site_label
_atom_site_type_symbol
_atom_site_fract_x
_atom_site_fract_y
_atom_site_fract_z
Cs1 Cs 0.000 0.000 0.000
Cs2 Cs 0.500 0.500 0.000
La1 La 0.145 0.355 0.500
La2 La 0.355 0.855 0.500
La3 La 0.645 0.145 0.500
La4 La 0.855 0.645 0.500
Cu1 Cu 0.112 0.612 0.000
Cu2 Cu 0.388 0.112 0.000
Cu3 Cu 0.612 0.888 0.000
Cu4 Cu 0.888 0.388 0.000

x.
# CsLa2Cu2 PBE optimized geometry
# space group	No. 127
# volume	286.8	Å³ per cell
data_CsLa2Cu2
_chemical_formula_sum 'Cs2 La4 Cu4'
_symmetry_space_group_name_H-M 'P 1'
_symmetry_Int_Tables_number 1
_cell_length_a 8.914
_cell_length_b 8.914
_cell_length_c 3.610
_cell_angle_alpha 90.00
_cell_angle_beta 90.00
_cell_angle_gamma 90.00
loop_
_symmetry_equiv_pos_as_xyz
'x,y,z'
loop_
_atom_site_label
_atom_site_type_symbol
_atom_site_fract_x
_atom_site_fract_y
_atom_site_fract_z
Cs1 Cs 0.000 0.000 0.000
Cs2 Cs 0.500 0.500 0.000
La1 La 0.140 0.360 0.000
La2 La 0.360 0.860 0.000
La3 La 0.640 0.140 0.000
La4 La 0.860 0.640 0.000
Cu1 Cu 0.140 0.640 0.500
Cu2 Cu 0.360 0.140 0.500
Cu3 Cu 0.640 0.860 0.500
Cu4 Cu 0.860 0.360 0.500

We find x to be the most stable, with the next structure 37 meV/atom higher.

w.
# CsLi3Cu PBE optimized geometry
# space group	No. 221
# volume	148.6	Å³ per cell
data_CsLi3Cu
_chemical_formula_sum 'Cs1 Li3 Cu1'
_symmetry_space_group_name_H-M 'P 1'
_symmetry_Int_Tables_number 1
_cell_length_a 5.296
_cell_length_b 5.296
_cell_length_c 5.296
_cell_angle_alpha 90.00
_cell_angle_beta 90.00
_cell_angle_gamma 90.00
loop_
_symmetry_equiv_pos_as_xyz
'x,y,z'
loop_
_atom_site_label
_atom_site_type_symbol
_atom_site_fract_x
_atom_site_fract_y
_atom_site_fract_z
Cs1 Cs 0.000 0.000 0.000
Li1 Li 0.000 0.000 0.500
Li2 Li 0.000 0.500 0.000
Li3 Li 0.500 0.000 0.000
Cu1 Cu 0.500 0.500 0.500

x.
# CsLi3Cu PBE optimized geometry
# space group	No. 221
# volume	150.6	Å³ per cell
data_CsLi3Cu
_chemical_formula_sum 'Cs1 Li3 Cu1'
_symmetry_space_group_name_H-M 'P 1'
_symmetry_Int_Tables_number 1
_cell_length_a 5.321
_cell_length_b 5.321
_cell_length_c 5.321
_cell_angle_alpha 90.00
_cell_angle_beta 90.00
_cell_angle_gamma 90.00
loop_
_symmetry_equiv_pos_as_xyz
'x,y,z'
loop_
_atom_site_label
_atom_site_type_symbol
_atom_site_fract_x
_atom_site_fract_y
_atom_site_fract_z
Cs1 Cs 0.000 0.000 0.000
Li1 Li 0.000 0.500 0.500
Li2 Li 0.500 0.000 0.500
Li3 Li 0.500 0.500 0.000
Cu1 Cu 0.500 0.500 0.500

We find x to be the most stable, with the next structure 920 meV/atom higher.